# SrMg6MnO8

Crystalline SrMg6MnO8 at its relaxed geometry (PBE+U, Alexandria via LeMat-Bulk).

Values from the calculation:
Calculated volume ... 11.24 Å³/atom
Relative energy among the computed polymorphs ... 40 kJ/mol of formula units
Total DFT energy (no corrections) ... -96.49 eV for the cell shown

Unit cell a=4.515 b=4.515 c=8.818 alpha=90.00 beta=90.00 gamma=90.00
Element x y z (fractional)
O (0.500, 0.500, 0.248)
O (0.000, 0.000, 0.233)
O (0.000, 0.000, 0.767)
O (0.000, 0.500, 0.000)
O (0.500, 0.000, 0.000)
O (0.500, 0.500, 0.752)
O (0.500, 0.000, 0.500)
O (0.000, 0.500, 0.500)
Mg (0.500, 0.500, 0.500)
Mg (0.000, 0.500, 0.240)
Mg (0.500, 0.000, 0.760)
Mg (0.000, 0.500, 0.760)
Mg (0.500, 0.500, 0.000)
Mg (0.500, 0.000, 0.240)
Mn (0.000, 0.000, 0.000)
Sr (0.000, 0.000, 0.500)